{"formula": "CsTl2Ir", "functional": "PBE", "state": "relaxed", "lattice": [[-3.447, 3.447, 7.788], [3.447, -3.447, 7.788], [3.447, 3.447, -7.788]], "species": ["Cs", "Cs", "Tl", "Tl", "Tl", "Tl", "Ir", "Ir"], "frac_coords": [[0.375, 0.625, 0.750], [0.625, 0.375, 0.250], [0.000, 0.000, 0.000], [0.000, 0.000, 0.500], [0.000, 0.500, 0.000], [0.500, 0.000, 0.500], [0.125, 0.875, 0.250], [0.875, 0.125, 0.750]], "final_energy_ev_per_atom": -3.385, "volume_a3_per_cell": 370.2, "space_group": "I4_1/amd"}